First-principles (PBE-GGA) data for a relaxed structure of Nd8HIr3Br4, as listed in Alexandria via LeMat-Bulk.

Cell and atoms, written as CIF:
```
data_Nd8HIr3Br4
_chemical_formula_sum 'Nd16 H2 Ir6 Br8'
_space_group_name_H-M_alt 'C 1 2/m 1'
_space_group_IT_number 12
_cell_length_a 14.233
_cell_length_b 8.214
_cell_length_c 9.116
_cell_angle_alpha 90.00
_cell_angle_beta 121.36
_cell_angle_gamma 90.00
loop_
_space_group_symop_operation_xyz
'x,y,z'
'-x,-y,-z'
'-x,y,-z'
'x,-y,z'
'x+1/2,y+1/2,z'
'-x+1/2,-y+1/2,-z'
'-x+1/2,y+1/2,-z'
'x+1/2,-y+1/2,z'
loop_
_atom_site_label
_atom_site_type_symbol
_atom_site_fract_x
_atom_site_fract_y
_atom_site_fract_z
Nd1 Nd 0.018 0.250 0.305
Nd2 Nd 0.232 0.000 0.697
Nd3 Nd 0.233 0.500 0.696
H1 H 0.000 0.500 0.500
Ir1 Ir 0.000 0.000 0.500
Ir2 Ir 0.250 0.250 0.500
Br1 Br 0.000 0.000 0.000
Br2 Br 0.000 0.500 0.000
Br3 Br 0.250 0.250 0.000
```

Computed properties:
- calculated total energy (Ry/atom) = -0.4161